No. 1
## Ca2Ga2Ir (PBE)

Data for a relaxed structure of Ca2Ga2Ir.

Computed properties:
Crystal system: monoclinic
Polymorph energy (0 for the lowest one) (eV per atom): 0.000

a b c (Å): 5.8380 5.8380 10.8860
angles (deg): 113.96 113.96 43.25
Element x y z (fractional)
Ca (0.0011, 0.0011, 0.1646)
Ca (0.1972, 0.1972, 0.6211)
Ca (0.8028, 0.8028, 0.3789)
Ca (0.9989, 0.9989, 0.8354)
Ga (0.3305, 0.3305, 0.9438)
Ga (0.4935, 0.4935, 0.6177)
Ga (0.5065, 0.5065, 0.3823)
Ga (0.6695, 0.6695, 0.0562)
Ir (0.2887, 0.2887, 0.1626)
Ir (0.7113, 0.7113, 0.8374)



No. 2
## KAg2P (PBE)

Data for a relaxed structure of KAg2P.

Computed properties:
Crystal system: orthorhombic

a b c (Å): 2.8770 5.4397 5.5080
angles (deg): 90.00 90.00 90.00
Element x y z (fractional)
K (0.0000, 0.0000, 0.0000)
Ag (0.0000, 0.5000, 0.5000)
Ag (0.5000, 0.0000, 0.5000)
P (0.5000, 0.5000, 0.0000)



No. 3
## MgIr2Au (PBE)

Data for a relaxed structure of MgIr2Au.

Computed properties:
Crystal system: monoclinic

a b c (Å): 4.9144 4.9144 4.7979
angles (deg): 100.03 100.03 33.41
Element x y z (fractional)
Mg (0.0000, 0.0000, 0.0000)
Ir (0.2563, 0.2563, 0.7617)
Ir (0.7437, 0.7437, 0.2383)
Au (0.5000, 0.5000, 0.5000)



no.,volume (Å³ per atom),calculated formation energy (eV per formula unit)
1,22.87,-2.81
2,21.55,1.38
3,15.68,-0.35